Record 1
Material: TlZnCd2
Method: DFT, GGA-PBE
State: relaxed Values from VASP.

Output
Electronic total energy, eV per atom: -1.27

Quantum ESPRESSO input file:
```
&SYSTEM
  ibrav = 0, nat = 4, ntyp = 3
/
ATOMIC_SPECIES
Cd 112.41 Cd.upf
Tl 204.38 Tl.upf
Zn 65.41 Zn.upf
CELL_PARAMETERS angstrom
6.3137 -0.1094 -0.0122
3.2770 5.3978 0.0122
-4.0400 -4.0141 2.7277
ATOMIC_POSITIONS angstrom
Cd 0.2677 0.1476 0.0000
Cd 4.5277 2.4966 0.0000
Tl 3.5345 -0.7396 1.3578
Zn 2.0162 2.0139 1.3699
```

---

Record 2
Material: TlZnCd2
Method: DFT, GGA-PBE
State: relaxed Values from VASP.

Output
Electronic total energy, eV per atom: -1.28

Quantum ESPRESSO input file:
```
&SYSTEM
  ibrav = 0, nat = 4, ntyp = 3
/
ATOMIC_SPECIES
Tl 204.38 Tl.upf
Zn 65.41 Zn.upf
Cd 112.41 Cd.upf
CELL_PARAMETERS angstrom
-2.5303 1.9453 -0.9702
-2.6369 -1.3392 -1.5431
-6.1153 -1.1729 7.8619
ATOMIC_POSITIONS angstrom
Tl -5.6388 -0.2826 2.6694
Zn -9.5578 -0.7681 6.1819
Cd -5.1623 -0.8747 5.9747
Cd -2.6800 -0.0977 1.0587
```

---

Record 3
Material: TlZn2Cd
Method: DFT, GGA-PBE
State: relaxed Values from VASP.

Output
Electronic total energy, eV per atom: -1.31

Quantum ESPRESSO input file:
```
&SYSTEM
  ibrav = 0, nat = 4, ntyp = 3
/
ATOMIC_SPECIES
Cd 112.41 Cd.upf
Tl 204.38 Tl.upf
Zn 65.41 Zn.upf
CELL_PARAMETERS angstrom
-3.3708 -0.5635 -4.9213
-0.5162 -5.4784 -2.3705
-0.9379 3.7424 4.5841
ATOMIC_POSITIONS angstrom
Cd -2.0371 -3.1665 -3.8216
Tl -1.6476 -2.2990 -0.6201
Zn -3.7794 -5.8747 -7.0899
Zn -3.1912 -0.0223 -2.1138
```

---

Record 4
Material: TlZn2Cd
Method: DFT, GGA-PBE
State: relaxed Values from VASP.

Output
Electronic total energy, eV per atom: -1.27

Quantum ESPRESSO input file:
```
&SYSTEM
  ibrav = 0, nat = 4, ntyp = 3
/
ATOMIC_SPECIES
Tl 204.38 Tl.upf
Zn 65.41 Zn.upf
Cd 112.41 Cd.upf
CELL_PARAMETERS angstrom
0.0000 3.5273 3.5273
3.5273 0.0000 3.5273
3.5273 3.5273 0.0000
ATOMIC_POSITIONS angstrom
Tl 3.5273 3.5273 3.5273
Zn 1.7637 1.7637 1.7637
Zn 5.2910 5.2910 5.2910
Cd 0.0000 0.0000 0.0000
```

---

Record 5
Material: TlZn2Cd
Method: DFT, GGA-PBE
State: relaxed Values from VASP.

Output
Electronic total energy, eV per atom: -1.24

Quantum ESPRESSO input file:
```
&SYSTEM
  ibrav = 0, nat = 8, ntyp = 3
/
ATOMIC_SPECIES
Tl 204.38 Tl.upf
Zn 65.41 Zn.upf
Cd 112.41 Cd.upf
CELL_PARAMETERS angstrom
-6.7089 -0.6116 3.9851
-2.9759 -4.4685 -5.6957
-3.7824 -5.0329 0.5466
ATOMIC_POSITIONS angstrom
Tl 0.0000 0.0000 0.0000
Tl -7.6669 -4.0923 1.8382
Zn -5.4275 -2.1914 1.8659
Zn -3.7274 -4.1351 -2.8756
Zn -6.5056 -5.7351 -0.3022
Zn -11.2741 -8.1643 -1.0162
Cd -4.8424 -2.5401 -0.8553
Cd -5.8004 -6.0207 -3.0022
```

---

Record 6
Material: TlZn2Cd
Method: DFT, GGA-PBE
State: relaxed Values from VASP.

Output
Electronic total energy, eV per atom: -1.33

Quantum ESPRESSO input file:
```
&SYSTEM
  ibrav = 0, nat = 4, ntyp = 3
/
ATOMIC_SPECIES
Cd 112.41 Cd.upf
Tl 204.38 Tl.upf
Zn 65.41 Zn.upf
CELL_PARAMETERS angstrom
-4.5346 0.3665 -1.0859
-3.8518 -2.6356 -0.3047
-2.4269 0.9760 5.8721
ATOMIC_POSITIONS angstrom
Cd -5.4186 -0.5716 2.5393
Tl -2.7061 -0.3565 0.9953
Zn -2.3573 0.8875 5.4711
Zn -8.1647 -0.9231 3.5887
```